# 1
SrB12H12 | the Alexandria database | GGA-PBE | relaxed; N(E_F) = 0.0 states/eV/f.u.; final energy = -5.253 eV per atom; calculated density = 1.55 g cm⁻³
1.0
1.417 5.409 -4.286
-5.886 -3.764 -0.906
-5.609 7.070 7.068
Sr B H
2 24 24
Direct
0.667 0.333 0.251 Sr
0.333 0.667 0.751 Sr
0.928 0.400 0.595 B
0.472 0.072 0.595 B
0.600 0.528 0.595 B
0.528 0.600 0.095 B
0.400 0.928 0.095 B
0.072 0.472 0.095 B
0.504 0.291 0.506 B
0.787 0.496 0.506 B
0.709 0.213 0.506 B
0.213 0.709 0.006 B
0.291 0.504 0.006 B
0.496 0.787 0.006 B
0.828 0.373 0.740 B
0.545 0.172 0.740 B
0.627 0.455 0.740 B
0.455 0.627 0.240 B
0.373 0.828 0.240 B
0.172 0.545 0.240 B
0.404 0.267 0.651 B
0.863 0.596 0.651 B
0.733 0.137 0.651 B
0.137 0.733 0.151 B
0.267 0.404 0.151 B
0.596 0.863 0.151 B
0.113 0.448 0.572 H
0.335 0.887 0.572 H
0.552 0.665 0.572 H
0.665 0.552 0.072 H
0.448 0.113 0.072 H
0.887 0.335 0.072 H
0.387 0.260 0.423 H
0.873 0.613 0.423 H
0.740 0.127 0.423 H
0.127 0.740 0.923 H
0.260 0.387 0.923 H
0.613 0.873 0.923 H
0.939 0.397 0.824 H
0.458 0.061 0.824 H
0.603 0.542 0.824 H
0.542 0.603 0.324 H
0.397 0.939 0.324 H
0.061 0.458 0.324 H
0.218 0.220 0.672 H
0.001 0.782 0.672 H
0.780 0.999 0.672 H
0.999 0.780 0.172 H
0.220 0.218 0.172 H
0.782 0.001 0.172 H

# 2
BaMn2RhS8 | the Alexandria database | GGA-PBE | relaxed; N(E_F) = 6.5 states/eV/f.u.; final energy = -5.603 eV per atom; calculated density = 3.98 g cm⁻³
1.0
5.862 0.000 0.000
-2.931 5.076 0.000
0.000 0.000 8.500
Ba Mn Rh S
1 2 1 8
Direct
0.000 0.000 0.000 Ba
0.667 0.333 0.254 Mn
0.333 0.667 0.746 Mn
0.000 0.000 0.500 Rh
0.333 0.667 0.989 S
0.339 0.336 0.343 S
0.664 0.003 0.343 S
0.667 0.333 0.011 S
0.336 0.997 0.657 S
0.661 0.664 0.657 S
0.003 0.339 0.657 S
0.997 0.661 0.343 S

- The highest N(E_F) belongs to which entry?
  BaMn2RhS8

- Among the records above, which one has the lowest N(E_F)?
  SrB12H12

- Number 1 is which compound?
  SrB12H12

- What is the N(E_F) in the second record?
  6.5 states/eV/f.u.